Material: NiAgIr2
Method: DFT, GGA-PBEsol
State: relaxed

Cell: 2.713 4.579 9.067 Å, 90.00 90.00 90.00°
Space group Cmmm (No. 65)
Symmetry-distinct sites (fractional):
1 Ni 0.000 0.000 0.000
2 Ag 0.000 0.000 0.500
3 Ir 0.000 0.500 0.230

Output
* theoretical density: 16.25 g cm⁻³
* spin magnetization: 0.874 μB per formula unit
* calculated volume: 56 Å³/f.u.
* energy of formation: 0.33 eV per atom